[1]
Mg3Cr (PBE-GGA, relaxed); ΔH_f (0 K) = 0.32 eV/atom; SG = Pm-3n (223)
1.0
-2.2177 -0.5797 5.0207
-4.6214 -1.9869 -2.2707
2.0460 -5.1164 0.3130
Mg Cr
6 2
direct
0.2500 0.5000 0.0000 Mg
0.0000 0.7500 0.5000 Mg
0.7500 0.5000 0.0000 Mg
0.5000 0.0000 0.2500 Mg
0.0000 0.2500 0.5000 Mg
0.5000 0.0000 0.7500 Mg
0.5000 0.5000 0.5000 Cr
0.0000 0.0000 0.0000 Cr


[2]
Mg3Cr (PBE-GGA, relaxed); ΔH_f (0 K) = 0.28 eV/atom; SG = C2/m (12)
1.0
5.2995 0.0091 -0.0351
4.3861 2.9743 -0.0351
0.8733 0.2690 5.2438
Cr Mg
1 3
direct
0.0000 0.0000 0.0000 Cr
0.5000 0.5000 0.5000 Mg
0.2569 0.2569 0.2383 Mg
0.7431 0.7431 0.7617 Mg


[3]
MgCr5 (PBE-GGA, relaxed); ΔH_f (0 K) = 0.31 eV/atom; SG = Cmmm (65)
1.0
0.9826 5.7900 -2.2140
-3.6552 -4.8644 1.5391
-0.4461 1.5796 3.9330
Mg Cr
1 5
direct
0.0000 0.0000 0.5000 Mg
0.6805 0.3195 0.5000 Cr
0.5000 0.5000 0.0000 Cr
0.1650 0.8350 0.0000 Cr
0.3195 0.6805 0.5000 Cr
0.8350 0.1650 0.0000 Cr


[4]
MgCr3 (PBE-GGA, relaxed); ΔH_f (0 K) = 0.57 eV/atom; SG = Cmcm (63)
1.0
2.6581 -4.9799 0.0000
2.6581 4.9799 0.0000
0.0000 0.0000 4.1363
Mg Cr
2 6
direct
0.4239 0.5761 0.7500 Mg
0.5761 0.4239 0.2500 Mg
0.9783 0.6167 0.7500 Cr
0.9105 0.0895 0.7500 Cr
0.0217 0.3833 0.2500 Cr
0.6167 0.9783 0.2500 Cr
0.0895 0.9105 0.2500 Cr
0.3833 0.0217 0.7500 Cr


[5]
MgCr2 (PBE-GGA, relaxed); relative energy among the computed polymorphs = 1.2483 eV per atom; ΔH_f (0 K) = 1.55 eV/atom; SG = Pa-3 (205)
1.0
-4.0406 -1.2478 4.9736
4.7343 -3.3405 3.0080
1.9700 5.4685 2.9724
Cr Mg
8 4
direct
0.6308 0.8692 0.8692 Cr
0.1308 0.6308 0.1308 Cr
0.1308 0.8692 0.6308 Cr
0.8692 0.3692 0.8692 Cr
0.3692 0.1308 0.1308 Cr
0.8692 0.1308 0.3692 Cr
0.6308 0.6308 0.3692 Cr
0.3692 0.3692 0.6308 Cr
0.0000 0.5000 0.5000 Mg
0.5000 0.5000 0.0000 Mg
0.5000 0.0000 0.5000 Mg
0.0000 0.0000 0.0000 Mg


[6]
Mg3Cr (PBE-GGA, relaxed); ΔH_f (0 K) = 0.31 eV/atom; SG = R-3m (166)
1.0
5.7053 -0.0004 -0.0013
-2.5873 5.0849 -0.0013
-2.5873 -4.2190 2.8383
Mg Cr
3 1
direct
0.0000 0.5000 0.5000 Mg
0.5000 0.5000 0.0000 Mg
0.5000 0.0000 0.5000 Mg
0.0000 0.0000 0.0000 Cr


[7]
MgCr3 (PBE-GGA, relaxed); ΔH_f (0 K) = 0.40 eV/atom; SG = Fm-3m (225)
1.0
4.3457 -0.1073 0.0000
0.1120 4.3456 0.0000
-2.2289 -2.1192 3.0721
Mg Cr
1 3
direct
0.0000 0.0000 0.0000 Mg
0.7500 0.2500 0.5000 Cr
0.5000 0.5000 0.0000 Cr
0.2500 0.7500 0.5000 Cr


[8]
Mg3Cr (PBE-GGA, relaxed); ΔH_f (0 K) = 0.25 eV/atom; SG = P6_3/mmc (194)
1.0
-0.9542 5.9306 -1.4409
-4.2365 -4.2528 -1.4574
-2.2283 0.7111 4.4025
Mg Cr
6 2
direct
0.3410 0.1705 0.2500 Mg
0.1705 0.8295 0.7500 Mg
0.8295 0.6590 0.2500 Mg
0.6590 0.8295 0.7500 Mg
0.8295 0.1705 0.2500 Mg
0.1705 0.3410 0.7500 Mg
0.6667 0.3333 0.7500 Cr
0.3333 0.6667 0.2500 Cr


[9]
Mg2Cr3 (PBE-GGA, relaxed); relative energy among the computed polymorphs = 0.5423 eV per atom; ΔH_f (0 K) = 1.05 eV/atom; SG = P-3m1 (164)
1.0
2.3218 -4.0216 0.0000
2.3218 4.0216 0.0000
0.0000 0.0000 5.7209
Cr Mg
3 2
direct
0.3333 0.6667 0.3489 Cr
0.0000 0.0000 0.0000 Cr
0.6667 0.3333 0.6511 Cr
0.6667 0.3333 0.1514 Mg
0.3333 0.6667 0.8486 Mg


[10]
Mg3Cr (PBE-GGA, relaxed); ΔH_f (0 K) = 0.27 eV/atom; SG = P4/mmm (123)
1.0
-2.0329 0.4644 2.7598
-1.7636 -2.8614 -0.8166
4.3130 -3.7447 3.8071
Mg Cr
3 1
direct
0.5000 0.5000 0.2273 Mg
0.0000 0.0000 0.5000 Mg
0.5000 0.5000 0.7727 Mg
0.0000 0.0000 0.0000 Cr


[11]
Mg2Cr (PBE-GGA, relaxed); ΔH_f (0 K) = 0.56 eV/atom; SG = P6_3/mmc (194)
1.0
-2.8401 -3.6277 3.3552
5.4462 -1.0207 -1.3344
2.6441 4.6332 7.2475
Mg Cr
8 4
direct
0.3447 0.1723 0.2500 Mg
0.6553 0.8277 0.7500 Mg
0.1723 0.3447 0.7500 Mg
0.0000 0.0000 0.0000 Mg
0.0000 0.0000 0.5000 Mg
0.8277 0.1723 0.2500 Mg
0.8277 0.6553 0.2500 Mg
0.1723 0.8277 0.7500 Mg
0.6667 0.3333 0.5598 Cr
0.6667 0.3333 0.9402 Cr
0.3333 0.6667 0.0598 Cr
0.3333 0.6667 0.4402 Cr


[12]
MgCr3 (PBE-GGA, relaxed); ΔH_f (0 K) = 0.57 eV/atom; SG = Cmmm (65)
1.0
-1.9959 -1.6119 -4.2360
4.9044 0.6481 0.2297
0.2690 -2.3008 0.7487
Cr Mg
3 1
direct
0.0000 0.5000 0.5000 Cr
0.5000 0.0000 0.5000 Cr
0.5000 0.5000 0.0000 Cr
0.0000 0.0000 0.0000 Mg


[13]
Mg8Cr (PBE-GGA, relaxed); ΔH_f (0 K) = 0.12 eV/atom; SG = I4/mmm (139)
1.0
3.2564 -2.3008 5.8476
-5.1659 4.1800 -2.4358
-3.3880 -6.0748 -1.3080
Mg Cr
8 1
direct
0.6611 0.6611 0.3222 Mg
0.0000 0.3287 0.3287 Mg
0.0000 0.6713 0.6713 Mg
0.3389 0.3389 0.6778 Mg
0.6611 0.3389 0.0000 Mg
0.3287 0.0000 0.3287 Mg
0.6713 0.0000 0.6713 Mg
0.3389 0.6611 0.0000 Mg
0.0000 0.0000 0.0000 Cr


[14]
Mg2Cr3 (PBE-GGA, relaxed); relative energy among the computed polymorphs = 0.0000 eV per atom; ΔH_f (0 K) = 0.50 eV/atom; SG = Fdd2 (43)
1.0
0.0000 4.8415 6.7628
2.6719 0.0000 6.7628
2.6719 4.8415 0.0000
Cr Mg
6 4
direct
0.0511 0.9489 0.9489 Cr
0.7989 0.9306 0.8495 Cr
0.4209 0.8495 0.9306 Cr
0.4005 0.8291 0.4511 Cr
0.3011 0.1989 0.1989 Cr
0.3194 0.4511 0.8291 Cr
0.9931 0.4003 0.8707 Mg
0.8497 0.2569 0.5140 Mg
0.3793 0.5140 0.2569 Mg
0.7360 0.8707 0.4003 Mg


[15]
MgCr3 (PBE-GGA, relaxed); ΔH_f (0 K) = 2.23 eV/atom; SG = Pm-3m (221)
1.0
5.2808 0.0000 0.0000
0.0000 5.2808 0.0000
0.0000 0.0000 5.2808
Mg Cr
1 3
direct
0.0000 0.0000 0.0000 Mg
0.0000 0.5000 0.0000 Cr
0.5000 0.0000 0.0000 Cr
0.0000 0.0000 0.5000 Cr


[16]
MgCr2 (PBE-GGA, relaxed); relative energy among the computed polymorphs = 0.0395 eV per atom; ΔH_f (0 K) = 0.34 eV/atom; SG = C2/m (12)
1.0
-0.7976 -4.7997 1.2766
0.2747 -3.4658 3.6354
-5.8843 -0.7964 3.1254
Cr Mg
4 2
direct
0.8492 0.8492 0.5361 Cr
0.1508 0.1508 0.4639 Cr
0.4970 0.4970 0.2972 Cr
0.5030 0.5030 0.7028 Cr
0.8374 0.8374 0.1003 Mg
0.1626 0.1626 0.8997 Mg


[17]
Mg2Cr (PBE-GGA, relaxed); ΔH_f (0 K) = 0.37 eV/atom; SG = Pnma (62)
1.0
4.5400 0.0000 0.0000
0.0000 5.9041 0.0000
0.0000 0.0000 8.7997
Cr Mg
4 8
direct
0.7500 0.8509 0.9066 Cr
0.2500 0.1491 0.0934 Cr
0.2500 0.6491 0.4066 Cr
0.7500 0.3509 0.5934 Cr
0.2500 0.1538 0.4255 Mg
0.2500 0.0853 0.7639 Mg
0.7500 0.8462 0.5745 Mg
0.2500 0.6538 0.0745 Mg
0.7500 0.4147 0.2639 Mg
0.2500 0.5853 0.7361 Mg
0.7500 0.9147 0.2361 Mg
0.7500 0.3462 0.9255 Mg


[18]
MgCr2 (PBE-GGA, relaxed); relative energy among the computed polymorphs = 0.1229 eV per atom; ΔH_f (0 K) = 0.43 eV/atom; SG = Fd-3m (227)
1.0
-3.4160 -3.5426 -0.4362
-3.2857 -0.7223 3.6183
-4.7401 1.2106 -0.6896
Cr Mg
4 2
direct
0.1250 0.6250 0.1250 Cr
0.1250 0.1250 0.6250 Cr
0.6250 0.1250 0.1250 Cr
0.1250 0.1250 0.1250 Cr
0.7500 0.7500 0.7500 Mg
0.5000 0.5000 0.5000 Mg


[19]
MgCr3 (PBE-GGA, relaxed); ΔH_f (0 K) = 0.55 eV/atom; SG = Pmm2 (25)
1.0
-1.5875 1.7886 0.3769
-0.6643 -1.4361 4.0174
3.7116 2.9433 1.6659
Mg Cr
1 3
direct
0.0000 0.5000 0.3059 Mg
0.5000 0.5000 0.8017 Cr
0.0000 0.0000 0.0139 Cr
0.5000 0.0000 0.5453 Cr


[20]
Mg3Cr (PBE-GGA, relaxed); ΔH_f (0 K) = 0.25 eV/atom; SG = I4/mmm (139)
1.0
4.8833 -0.0493 -0.0700
-2.4844 4.2016 0.0774
-0.0857 2.8141 3.9909
Mg Cr
3 1
direct
0.7500 0.5000 0.7500 Mg
0.5000 0.0000 0.5000 Mg
0.2500 0.5000 0.2500 Mg
0.0000 0.0000 0.0000 Cr